# PBE+U KNdW2O8, optimized geometry
data_KNdW2O8
_chemical_formula_sum 'K2 Nd2 W4 O16'
_cell_length_a 7.789
_cell_length_b 7.789
_cell_length_c 6.819
_cell_angle_alpha 90.00
_cell_angle_beta 90.00
_cell_angle_gamma 90.00
_symmetry_space_group_name_H-M 'I -4 m 2'
_symmetry_Int_Tables_number 119
_symmetry_space_group_name_Hall 'I -4 -2'
loop_
_atom_site_label
_atom_site_fract_x
_atom_site_fract_y
_atom_site_fract_z
K1 0.000 0.000 0.000
Nd1 0.000 0.500 0.250
W1 0.000 0.000 0.500
W2 0.000 0.500 0.750
O1 0.000 0.192 0.348
O2 0.000 0.325 0.926
# **Theoretical density**: 5.5 g cm⁻³
# **Uncorrected energy**: -7.3014 eV/atom